The following is a DFT calculation (SCAN) of SiIrSeN2 at its PBEsol-relaxed geometry.

Theoretical density (g/cm3): 6.486
Electronic total energy (eV per atom): -23.151

abc: 3.406 3.406 7.223
angles: 90.00 90.00 90.00
Atoms (fractional coordinates):
Se: 0.000 0.000 0.500
Si: 0.000 0.000 0.000
N: 0.500 0.000 0.000
N: 0.000 0.500 0.000
Ir: 0.500 0.500 0.500